The following is a PBE-GGA calculation of an optimized crystal structure of PrEr2TmBi4, from the Alexandria database.

The calculated formation energy is -832 meV per atom.

The space group is P2/m (No. 10) and the conventional cell measures 7.782, 4.499 and 7.785 Å, with angles of 90.00, 109.50 and 90.00 degrees. The asymmetric unit holds Pr at (0.000, 0.000, 0.000), Er at (0.000, 0.500, 0.500), Er at (0.500, 0.000, 0.500), Tm at (0.500, 0.500, 0.000), Bi at (0.255, 0.000, 0.746) and Bi at (0.259, 0.500, 0.258).


The following is a PBE-GGA calculation of an optimized crystal structure of PrErTm2Bi4, from the Alexandria database.

The calculated formation energy is -819 meV per atom.

The space group is I4/mmm (No. 139) and the conventional cell measures 6.355, 6.355 and 12.703 Å, with angles of 90.00, 90.00 and 90.00 degrees. The asymmetric unit holds Pr at (0.000, 0.000, 0.000), Er at (0.000, 0.000, 0.500), Tm at (0.000, 0.500, 0.250), Bi at (0.000, 0.000, 0.255) and Bi at (0.000, 0.500, 0.000).


The following is a PBE-GGA calculation of an optimized crystal structure of Pr3ErTm2Bi6, from the Alexandria database.

The calculated formation energy is -871 meV per atom.

The space group is C2/m (No. 12) and the conventional cell measures 19.771, 4.545 and 9.072 Å, with angles of 90.00, 103.02 and 90.00 degrees. The asymmetric unit holds Pr at (0.000, 0.000, 0.000), Pr at (0.167, 0.500, 0.333), Er at (0.000, 0.000, 0.500), Tm at (0.167, 0.500, 0.833), Bi at (0.003, 0.500, 0.743), Bi at (0.164, 0.000, 0.591) and Bi at (0.170, 0.000, 0.075).


The following is a PBE-GGA calculation of an optimized crystal structure of PrEr2Tm3Bi6, from the Alexandria database.

The calculated formation energy is -816 meV per atom.

The space group is C2/m (No. 12) and the conventional cell measures 19.491, 4.475 and 8.947 Å, with angles of 90.00, 103.21 and 90.00 degrees. The asymmetric unit holds Pr at (0.000, 0.000, 0.000), Er at (0.168, 0.500, 0.333), Tm at (0.000, 0.000, 0.500), Tm at (0.165, 0.500, 0.832), Bi at (0.001, 0.500, 0.260), Bi at (0.166, 0.000, 0.583) and Bi at (0.171, 0.000, 0.084).


The following is a PBE-GGA calculation of an optimized crystal structure of Pr2Y3ErBi6, from the Alexandria database.

The calculated formation energy is -898 meV per atom.

The space group is C2/m (No. 12) and the conventional cell measures 7.851, 13.607 and 7.845 Å, with angles of 90.00, 109.53 and 90.00 degrees. The asymmetric unit holds Pr at (0.000, 0.165, 0.000), Y at (0.000, 0.000, 0.500), Y at (0.000, 0.330, 0.500), Er at (0.000, 0.500, 0.000), Bi at (0.239, 0.500, 0.742) and Bi at (0.247, 0.337, 0.255).


The following is a PBE-GGA calculation of an optimized crystal structure of Er6BiPt, from the Alexandria database.

The calculated formation energy is -294 meV per atom.

The space group is P-1 (No. 2) and the conventional cell measures 6.838, 6.843 and 7.613 Å, with angles of 90.07, 116.63 and 119.95 degrees. The asymmetric unit holds Er at (0.038, 0.076, 0.266), Er at (0.304, 0.728, 0.266), Er at (0.309, 0.537, 0.734), Bi at (0.500, 0.000, 0.000) and Pt at (0.500, 0.500, 0.500).


The following is a PBE-GGA calculation of an optimized crystal structure of Er5Bi2Pt, from the Alexandria database.

The calculated formation energy is -361 meV per atom. The energy relative to the lowest polymorph listed for this composition is 417 meV per atom.

The space group is Cmcm (No. 63) and the conventional cell measures 5.476, 15.808 and 13.634 Å, with angles of 90.00, 90.00 and 90.00 degrees. The asymmetric unit holds Er at (0.000, 0.080, 0.116), Er at (0.000, 0.279, 0.750), Er at (0.000, 0.295, 0.065), Bi at (0.000, 0.118, 0.604) and Pt at (0.000, 0.207, 0.250).


The following is a PBE-GGA calculation of an optimized crystal structure of Er4Bi2Pt, from the Alexandria database.

The calculated formation energy is -806 meV per atom.

The space group is Pbam (No. 55) and the conventional cell measures 7.866, 12.297 and 4.370 Å, with angles of 90.00, 90.00 and 90.00 degrees. The asymmetric unit holds Er at (0.135, 0.204, 0.000), Er at (0.208, 0.941, 0.500), Bi at (0.077, 0.668, 0.500) and Pt at (0.000, 0.000, 0.000).